# Cd2PRu

Cd2PRu at its PBEsol-relaxed geometry (meta-GGA SCAN, the Alexandria database).

Properties
Electronic total energy = -26.523 eV/atom

a = 3.6239 Å, b = 3.9572 Å, c = 5.3241 Å
α = 111.82°, β = 90.00°, γ = 90.00°
Element x y z (fractional)
Cd 0.0000 0.9672 0.9345
Cd 0.5000 0.2797 0.5594
P 0.0000 0.6911 0.3821
Ru 0.5000 0.5631 0.1262



# Cd2PRu

Cd2PRu at its PBEsol-relaxed geometry (meta-GGA SCAN, the Alexandria database).

Properties
Electronic total energy = -26.164 eV/atom

a = 3.7877 Å, b = 3.7877 Å, c = 5.2222 Å
α = 111.26°, β = 111.26°, γ = 90.00°
Element x y z (fractional)
P 0.5000 0.5000 0.0000
Cd 0.2500 0.7500 0.5000
Cd 0.7500 0.2500 0.5000
Ru 0.0000 0.0000 0.0000



# CdP2SeS

CdP2SeS at its PBEsol-relaxed geometry (meta-GGA SCAN, the Alexandria database).

Properties
Electronic total energy = -14.857 eV/atom

a = 4.7119 Å, b = 4.9168 Å, c = 4.9168 Å
α = 90.00°, β = 90.00°, γ = 90.00°
Site moments in Bohr magnetons follow the coordinates.
Element x y z (fractional)
S 0.5000 0.0000 0.0000  -0.07
P 0.0000 0.0000 0.5000  0.31
P 0.0000 0.5000 0.0000  0.31
Cd 0.0000 0.0000 0.0000  0.01
Se 0.5000 0.5000 0.5000  -0.27



# CdSiPS2

CdSiPS2 at its PBEsol-relaxed geometry (meta-GGA SCAN, the Alexandria database).

Properties
Electronic total energy = -12.827 eV/atom

a = 4.8211 Å, b = 4.8589 Å, c = 4.8589 Å
α = 90.00°, β = 90.00°, γ = 90.00°
Element x y z (fractional)
Si 0.5000 0.5000 0.5000
S 0.0000 0.0000 0.5000
S 0.0000 0.5000 0.0000
P 0.5000 0.0000 0.0000
Cd 0.0000 0.0000 0.0000



# CdSiP2S

CdSiP2S at its PBEsol-relaxed geometry (meta-GGA SCAN, the Alexandria database).

Properties
Electronic total energy = -12.740 eV/atom

a = 4.8285 Å, b = 4.8285 Å, c = 4.8829 Å
α = 90.00°, β = 90.00°, γ = 90.00°
Site moments in Bohr magnetons follow the coordinates.
Element x y z (fractional)
P 0.0000 0.5000 0.0000  0.27
P 0.5000 0.0000 0.0000  0.27
Cd 0.0000 0.0000 0.0000  0.01
Si 0.5000 0.5000 0.5000  -0.05
S 0.0000 0.0000 0.5000  0.15



# CdSnPS2

CdSnPS2 at its PBEsol-relaxed geometry (meta-GGA SCAN, the Alexandria database).

Properties
Electronic total energy = -18.546 eV/atom

a = 4.8386 Å, b = 4.9253 Å, c = 4.9253 Å
α = 90.00°, β = 90.00°, γ = 90.00°
Site moments in Bohr magnetons follow the coordinates.
Element x y z (fractional)
Cd 0.0000 0.0000 0.0000  0.01
P 0.5000 0.0000 0.0000  0.41
Sn 0.5000 0.5000 0.5000  -0.03
S 0.0000 0.0000 0.5000  0.16
S 0.0000 0.5000 0.0000  0.16



# CdTcPS2

CdTcPS2 at its PBEsol-relaxed geometry (meta-GGA SCAN, the Alexandria database).

Properties
Electronic total energy = -17.718 eV/atom

a = 4.8160 Å, b = 4.8454 Å, c = 4.8454 Å
α = 90.00°, β = 90.00°, γ = 90.00°
Site moments in Bohr magnetons follow the coordinates.
Element x y z (fractional)
P 0.5000 0.0000 0.0000  -0.45
Cd 0.0000 0.0000 0.0000  0.00
S 0.0000 0.0000 0.5000  -0.11
S 0.0000 0.5000 0.0000  -0.11
Tc 0.5000 0.5000 0.5000  4.18



# TlCdP2S

TlCdP2S at its PBEsol-relaxed geometry (meta-GGA SCAN, the Alexandria database).

Properties
E above lowest polymorph = 0 meV/atom

a = 4.9624 Å, b = 4.9624 Å, c = 5.0537 Å
α = 90.00°, β = 90.00°, γ = 90.00°
Site moments in Bohr magnetons follow the coordinates.
Element x y z (fractional)
Cd 0.0000 0.0000 0.0000  0.03
Tl 0.5000 0.5000 0.5000  0.04
S 0.0000 0.0000 0.5000  0.14
P 0.5000 0.0000 0.0000  0.48
P 0.0000 0.5000 0.0000  0.48



# CdSb2P

CdSb2P at its PBEsol-relaxed geometry (meta-GGA SCAN, the Alexandria database).

Properties
E above lowest polymorph = 235 meV/atom

a = 3.8053 Å, b = 4.4247 Å, c = 5.3832 Å
α = 90.00°, β = 90.00°, γ = 90.00°
Element x y z (fractional)
Sb 0.5000 0.0000 0.5000
Sb 0.0000 0.0000 0.0000
Cd 0.5000 0.5000 0.0000
P 0.0000 0.5000 0.5000



# CdSbP2

CdSbP2 at its PBEsol-relaxed geometry (meta-GGA SCAN, the Alexandria database).

Properties
E above lowest polymorph = 49 meV/atom

a = 3.1698 Å, b = 5.8482 Å, c = 5.6319 Å
α = 116.44°, β = 90.00°, γ = 105.72°
Element x y z (fractional)
P 0.2379 0.4758 0.8678
P 0.8808 0.7615 0.8833
Sb 0.5634 0.1268 0.3871
Cd 0.8179 0.6358 0.3618



# CdSb2P

CdSb2P at its PBEsol-relaxed geometry (meta-GGA SCAN, the Alexandria database).

Properties
E above lowest polymorph = 0 meV/atom

a = 3.6133 Å, b = 3.6133 Å, c = 8.8191 Å
α = 78.18°, β = 78.18°, γ = 60.00°
Element x y z (fractional)
Sb 0.9787 0.9787 0.0639
Sb 0.7595 0.7595 0.7215
Cd 0.5112 0.5112 0.4665
P 0.2506 0.2506 0.2481



# CdSbP2

CdSbP2 at its PBEsol-relaxed geometry (meta-GGA SCAN, the Alexandria database).

Properties
E above lowest polymorph = 321 meV/atom

a = 3.6392 Å, b = 3.6392 Å, c = 6.0076 Å
α = 90.00°, β = 90.00°, γ = 90.00°
Element x y z (fractional)
P 0.0000 0.0000 0.3068
P 0.0000 0.0000 0.6932
Sb 0.5000 0.5000 0.0000
Cd 0.5000 0.5000 0.5000



# CdSbP2

CdSbP2 at its PBEsol-relaxed geometry (meta-GGA SCAN, the Alexandria database).

Properties
E above lowest polymorph = 0 meV/atom

a = 5.8666 Å, b = 5.8666 Å, c = 7.4256 Å
α = 113.27°, β = 113.27°, γ = 90.00°
Element x y z (fractional)
P 0.1250 0.1290 0.7500
P 0.6250 0.6210 0.7500
P 0.3790 0.8750 0.2500
P 0.8710 0.3750 0.2500
Cd 0.5000 0.5000 0.0000
Cd 0.7500 0.2500 0.5000
Sb 0.2500 0.7500 0.5000
Sb 0.0000 0.0000 0.0000



# Cd2SbP

Cd2SbP at its PBEsol-relaxed geometry (meta-GGA SCAN, the Alexandria database).

Properties
E above lowest polymorph = 283 meV/atom

a = 4.9329 Å, b = 4.9329 Å, c = 4.9329 Å
α = 60.00°, β = 60.00°, γ = 60.00°
Element x y z (fractional)
Sb 0.2500 0.2500 0.2500
P 0.5000 0.5000 0.5000
Cd 0.0000 0.0000 0.0000
Cd 0.7500 0.7500 0.7500



# CdSbP2

CdSbP2 at its PBEsol-relaxed geometry (meta-GGA SCAN, the Alexandria database).

Properties
E above lowest polymorph = 499 meV/atom

a = 4.7768 Å, b = 4.7768 Å, c = 4.7768 Å
α = 60.00°, β = 60.00°, γ = 60.00°
Element x y z (fractional)
Cd 0.5000 0.5000 0.5000
P 0.7500 0.7500 0.7500
P 0.0000 0.0000 0.0000
Sb 0.2500 0.2500 0.2500



# Cd2SbP

Cd2SbP at its PBEsol-relaxed geometry (meta-GGA SCAN, the Alexandria database).

Properties
E above lowest polymorph = 90 meV/atom

a = 3.6123 Å, b = 4.4898 Å, c = 6.1681 Å
α = 111.34°, β = 107.03°, γ = 90.00°
Element x y z (fractional)
P 0.5163 0.5163 0.0327
Cd 0.7994 0.2994 0.5989
Cd 0.9845 0.9845 0.9691
Sb 0.1997 0.6997 0.3994



# CdSbP2

CdSbP2 at its PBEsol-relaxed geometry (meta-GGA SCAN, the Alexandria database).

Properties
E above lowest polymorph = 18 meV/atom

a = 3.1443 Å, b = 3.1443 Å, c = 8.6207 Å
α = 90.00°, β = 90.00°, γ = 90.00°
Element x y z (fractional)
Sb 0.0000 0.0000 0.4782
P 0.5000 0.5000 0.0850
P 0.0000 0.0000 0.1618
Cd 0.5000 0.5000 0.7750



# CdSb2P

CdSb2P at its PBEsol-relaxed geometry (meta-GGA SCAN, the Alexandria database).

Properties
E above lowest polymorph = 139 meV/atom

a = 3.4517 Å, b = 3.4517 Å, c = 7.5929 Å
α = 90.00°, β = 90.00°, γ = 90.00°
Element x y z (fractional)
P 0.5000 0.5000 0.7701
Sb 0.0000 0.0000 0.9397
Sb 0.5000 0.5000 0.2640
Cd 0.0000 0.0000 0.5261



# Cd2SbP

Cd2SbP at its PBEsol-relaxed geometry (meta-GGA SCAN, the Alexandria database).

Properties
E above lowest polymorph = 0 meV/atom

a = 3.8477 Å, b = 3.8477 Å, c = 7.3381 Å
α = 74.80°, β = 74.80°, γ = 60.00°
Element x y z (fractional)
P 0.5000 0.5000 0.5000
Sb 0.0000 0.0000 0.0000
Cd 0.7632 0.7632 0.7103
Cd 0.2368 0.2368 0.2897



# Cd2SbP2

Cd2SbP2 at its PBEsol-relaxed geometry (meta-GGA SCAN, the Alexandria database).

Properties
Electronic total energy = -23.335 eV/atom

a = 4.0536 Å, b = 4.0536 Å, c = 6.9430 Å
α = 106.97°, β = 106.97°, γ = 90.00°
Element x y z (fractional)
Sb 0.0000 0.0000 0.0000
P 0.4045 0.4045 0.8089
P 0.5955 0.5955 0.1911
Cd 0.7500 0.2500 0.5000
Cd 0.2500 0.7500 0.5000



# CdSbTe2P

CdSbTe2P at its PBEsol-relaxed geometry (meta-GGA SCAN, the Alexandria database).

Properties
Electronic total energy = -29.368 eV/atom

a = 5.3866 Å, b = 5.3687 Å, c = 5.3687 Å
α = 90.00°, β = 90.00°, γ = 90.00°
Element x y z (fractional)
Cd 0.0000 0.0000 0.0000
Sb 0.5000 0.0000 0.0000
Te 0.0000 0.5000 0.0000
Te 0.0000 0.0000 0.5000
P 0.5000 0.5000 0.5000



# ScCdP3

ScCdP3 at its PBEsol-relaxed geometry (meta-GGA SCAN, the Alexandria database).

Properties
Electronic total energy = -14.361 eV/atom

a = 4.8173 Å, b = 4.8173 Å, c = 4.8173 Å
α = 90.00°, β = 90.00°, γ = 90.00°
Element x y z (fractional)
P 0.0000 0.5000 0.0000
P 0.0000 0.0000 0.5000
P 0.5000 0.0000 0.0000
Cd 0.0000 0.0000 0.0000
Sc 0.5000 0.5000 0.5000



# Sr2ScCdP

Sr2ScCdP at its PBEsol-relaxed geometry (meta-GGA SCAN, the Alexandria database).

Properties
Electronic total energy = -19.933 eV/atom

a = 4.9957 Å, b = 5.7410 Å, c = 5.7410 Å
α = 90.00°, β = 90.00°, γ = 90.00°
Element x y z (fractional)
Sr 0.0000 0.0000 0.5000
Sr 0.0000 0.5000 0.0000
P 0.0000 0.0000 0.0000
Sc 0.5000 0.5000 0.5000
Cd 0.5000 0.0000 0.0000



# ScTa2CdP

ScTa2CdP at its PBEsol-relaxed geometry (meta-GGA SCAN, the Alexandria database).

Properties
Electronic total energy = -35.832 eV/atom

a = 4.6180 Å, b = 5.0380 Å, c = 5.0380 Å
α = 90.00°, β = 90.00°, γ = 90.00°
Element x y z (fractional)
Sc 0.5000 0.5000 0.5000
P 0.5000 0.0000 0.0000
Ta 0.0000 0.5000 0.0000
Ta 0.0000 0.0000 0.5000
Cd 0.0000 0.0000 0.0000



# CdP2Se

CdP2Se at its PBEsol-relaxed geometry (meta-GGA SCAN, the Alexandria database).

Properties
Electronic total energy = -17.210 eV/atom

a = 3.3342 Å, b = 4.8312 Å, c = 5.3210 Å
α = 117.00°, β = 108.26°, γ = 90.00°
Element x y z (fractional)
Se 0.0000 0.5000 0.0000
Cd 0.5000 0.0000 0.0000
P 0.2727 0.2727 0.5453
P 0.7273 0.7273 0.4547



# CdSiP

CdSiP at its PBEsol-relaxed geometry (meta-GGA SCAN, the Alexandria database).

Properties
Electronic total energy = -16.315 eV/atom

a = 4.3946 Å, b = 4.3946 Å, c = 4.3946 Å
α = 60.00°, β = 60.00°, γ = 60.00°
Element x y z (fractional)
Si 0.0000 0.0000 0.0000
Cd 0.5000 0.5000 0.5000
P 0.7500 0.7500 0.7500